Entry 1:
Below is an optimized crystal structure of YAsCl2, with properties calculated at the PBE-GGA level.

Mass density = 3.44 g/cm³
E = -4.67 eV per atom
Energy relative to the elements, uncorrected = -0.968 eV per atom
Distance to the lowest polymorph of the same formula = 0.329 eV per atom

a b c (Å): 3.240 3.240 10.795
angles (deg): 90.00 90.00 90.00
Space group P4/mmm (No. 123)
Inequivalent atoms, fractional coordinates:
Y (0.000, 0.000, 0.000)
As (0.000, 0.000, 0.500)
Cl (0.500, 0.500, 0.149)


Entry 2:
Below is an optimized crystal structure of YAsCl2, with properties calculated at the PBE-GGA level.

Mass density = 4.16 g/cm³
E = -4.78 eV per atom
Energy relative to the elements, uncorrected = -1.080 eV per atom
Distance to the lowest polymorph of the same formula = 0.217 eV per atom

a b c (Å): 4.458 4.458 18.876
angles (deg): 90.00 90.00 90.00
Space group I-42d (No. 122)
Inequivalent atoms, fractional coordinates:
Y (0.000, 0.000, 0.000)
As (0.000, 0.000, 0.500)
Cl (0.240, 0.250, 0.125)


Entry 3:
Below is an optimized crystal structure of YAsCl2, with properties calculated at the PBE-GGA level.

Mass density = 3.19 g/cm³
E = -5.00 eV per atom
Energy relative to the elements, uncorrected = -1.298 eV per atom
Distance to the lowest polymorph of the same formula = 0.000 eV per atom

a b c (Å): 14.343 3.762 4.555
angles (deg): 90.00 95.86 90.00
Space group C2/m (No. 12)
Inequivalent atoms, fractional coordinates:
Y (0.000, 0.000, 0.000)
As (0.000, 0.500, 0.500)
Cl (0.142, 0.500, 0.201)


Entry 4:
Below is an optimized crystal structure of Y2As2Cl, with properties calculated at the PBE-GGA level.

Mass density = 5.21 g/cm³
E = -6.23 eV per atom
Energy relative to the elements, uncorrected = -1.415 eV per atom

a b c (Å): 7.643 7.643 3.960
angles (deg): 90.00 90.00 90.00
Space group P4/mbm (No. 127)
Inequivalent atoms, fractional coordinates:
Y (0.174, 0.326, 0.000)
As (0.123, 0.623, 0.500)
Cl (0.000, 0.000, 0.000)


Entry 5:
Below is an optimized crystal structure of YAsCl4, with properties calculated at the PBE-GGA level.

Mass density = 3.61 g/cm³
E = -3.09 eV per atom
Energy relative to the elements, uncorrected = -0.009 eV per atom

a b c (Å): 8.252 8.252 8.252
angles (deg): 90.00 90.00 90.00
Space group F-43m (No. 216)
Inequivalent atoms, fractional coordinates:
Y (0.000, 0.000, 0.000)
As (0.250, 0.250, 0.750)
Cl (0.126, 0.126, 0.374)


Entry 6:
Below is an optimized crystal structure of YAsCl2, with properties calculated at the PBE-GGA level.

Mass density = 3.37 g/cm³
E = -4.62 eV per atom
Energy relative to the elements, uncorrected = -0.919 eV per atom
Distance to the lowest polymorph of the same formula = 0.379 eV per atom

a b c (Å): 3.5075 3.5075 32.5988
angles (deg): 90.00 90.00 120.00
Space group R-3m (No. 166, hexagonal axes)
Inequivalent atoms, fractional coordinates:
Y (0.0000, 0.0000, 0.0000)
As (0.0000, 0.0000, 0.5000)
Cl (0.0000, 0.0000, 0.3877)


Entry 7:
Below is an optimized crystal structure of YAsCl2, with properties calculated at the PBE-GGA level.

Mass density = 3.01 g/cm³
E = -4.88 eV per atom
Energy relative to the elements, uncorrected = -1.175 eV per atom
Distance to the lowest polymorph of the same formula = 0.123 eV per atom

a b c (Å): 3.412 5.338 14.240
angles (deg): 90.00 90.00 90.00
Space group Immm (No. 71)
Inequivalent atoms, fractional coordinates:
Y (0.000, 0.000, 0.000)
As (0.000, 0.000, 0.500)
Cl (0.000, 0.500, 0.354)


Entry 8:
Below is an optimized crystal structure of YAsCl2, with properties calculated at the PBE-GGA level.

Mass density = 2.96 g/cm³
E = -4.91 eV per atom
Energy relative to the elements, uncorrected = -1.211 eV per atom
Distance to the lowest polymorph of the same formula = 0.087 eV per atom

a b c (Å): 10.087 3.911 6.817
angles (deg): 90.00 101.34 90.00
Space group Cm (No. 8)
Inequivalent atoms, fractional coordinates:
Y (0.000, 0.000, 0.000)
As (0.291, 0.000, 0.956)
Cl (0.127, 0.500, 0.250)
Cl (0.424, 0.000, 0.698)


Entry 9:
Below is an optimized crystal structure of Zn2AsCl, with properties calculated at the PBE-GGA level.

Mass density = 5.41 g/cm³
E = -2.15 eV per atom
Energy relative to the elements, uncorrected = 0.115 eV per atom
Distance to the lowest polymorph of the same formula = 0.597 eV per atom

a b c (Å): 6.664 6.664 6.664
angles (deg): 90.00 90.00 90.00
Space group Fm-3m (No. 225)
Inequivalent atoms, fractional coordinates:
Zn (0.250, 0.250, 0.250)
As (0.000, 0.000, 0.000)
Cl (0.000, 0.000, 0.500)


Entry 10:
Below is an optimized crystal structure of Zn2AsCl, with properties calculated at the PBE-GGA level.

Mass density = 4.95 g/cm³
E = -2.54 eV per atom
Energy relative to the elements, uncorrected = -0.280 eV per atom
Distance to the lowest polymorph of the same formula = 0.202 eV per atom

a b c (Å): 3.8797 3.8797 18.6063
angles (deg): 90.00 90.00 120.00
Space group R-3m (No. 166, hexagonal axes)
Inequivalent atoms, fractional coordinates:
Zn (0.0000, 0.0000, 0.2330)
As (0.0000, 0.0000, 0.5000)
Cl (0.0000, 0.0000, 0.0000)


Entry 11:
Below is an optimized crystal structure of ZnAs2Cl, with properties calculated at the PBE-GGA level.

Mass density = 5.46 g/cm³
E = -2.73 eV per atom
Energy relative to the elements, uncorrected = 0.378 eV per atom
Distance to the lowest polymorph of the same formula = 0.651 eV per atom

a b c (Å): 5.019 5.019 3.029
angles (deg): 90.00 90.00 90.00
Space group P4/mmm (No. 123)
Inequivalent atoms, fractional coordinates:
Zn (0.000, 0.000, 0.000)
As (0.000, 0.500, 0.500)
Cl (0.500, 0.500, 0.000)


Entry 12:
Below is an optimized crystal structure of Zn3AsCl, with properties calculated at the PBE-GGA level.

Mass density = 4.00 g/cm³
E = -2.05 eV per atom
Energy relative to the elements, uncorrected = 0.009 eV per atom
Distance to the lowest polymorph of the same formula = 0.000 eV per atom

a b c (Å): 5.031 5.031 5.031
angles (deg): 90.00 90.00 90.00
Space group Pm-3m (No. 221)
Inequivalent atoms, fractional coordinates:
Zn (0.000, 0.000, 0.500)
As (0.000, 0.000, 0.000)
Cl (0.500, 0.500, 0.500)


Entry 13:
Below is an optimized crystal structure of Zn2AsCl, with properties calculated at the PBE-GGA level.

Mass density = 4.80 g/cm³
E = -2.28 eV per atom
Energy relative to the elements, uncorrected = -0.023 eV per atom
Distance to the lowest polymorph of the same formula = 0.458 eV per atom

a b c (Å): 3.368 5.270 9.393
angles (deg): 90.00 90.00 90.00
Space group Cmm2 (No. 35)
Inequivalent atoms, fractional coordinates:
Zn (0.000, 0.000, 0.000)
Zn (0.000, 0.500, 0.219)
As (0.000, 0.500, 0.787)
Cl (0.000, 0.000, 0.394)


Entry 14:
Below is an optimized crystal structure of Zn2AsCl, with properties calculated at the PBE-GGA level.

Mass density = 5.01 g/cm³
E = -2.25 eV per atom
Energy relative to the elements, uncorrected = 0.012 eV per atom
Distance to the lowest polymorph of the same formula = 0.493 eV per atom

a b c (Å): 2.927 5.800 9.416
angles (deg): 90.00 90.00 90.00
Space group Imm2 (No. 44)
Inequivalent atoms, fractional coordinates:
Zn (0.000, 0.000, 0.000)
Zn (0.000, 0.500, 0.269)
As (0.000, 0.500, 0.733)
Cl (0.000, 0.000, 0.559)


Entry 15:
Below is an optimized crystal structure of ZnAsCl3, with properties calculated at the PBE-GGA level.

Mass density = 3.16 g/cm³
E = -2.48 eV per atom
Energy relative to the elements, uncorrected = -0.186 eV per atom
Distance to the lowest polymorph of the same formula = 0.000 eV per atom

a b c (Å): 5.062 5.062 5.062
angles (deg): 90.00 90.00 90.00
Space group Pm-3m (No. 221)
Inequivalent atoms, fractional coordinates:
Zn (0.000, 0.000, 0.000)
As (0.500, 0.500, 0.500)
Cl (0.000, 0.500, 0.500)


Entry 16:
Below is an optimized crystal structure of ZnAs2Cl, with properties calculated at the PBE-GGA level.

Mass density = 4.42 g/cm³
E = -2.83 eV per atom
Energy relative to the elements, uncorrected = 0.271 eV per atom
Distance to the lowest polymorph of the same formula = 0.544 eV per atom

a b c (Å): 4.895 13.358 2.880
angles (deg): 90.00 90.00 90.00
Space group Cmmm (No. 65)
Inequivalent atoms, fractional coordinates:
Zn (0.000, 0.000, 0.000)
As (0.250, 0.250, 0.500)
Cl (0.000, 0.500, 0.000)


Entry 17:
Below is an optimized crystal structure of Zn2AsCl, with properties calculated at the PBE-GGA level.

Mass density = 3.44 g/cm³
E = -2.30 eV per atom
Energy relative to the elements, uncorrected = -0.037 eV per atom
Distance to the lowest polymorph of the same formula = 0.445 eV per atom

a b c (Å): 5.218 4.061 5.501
angles (deg): 90.00 92.66 90.00
Space group P2/m (No. 10)
Inequivalent atoms, fractional coordinates:
Zn (0.002, 0.000, 0.281)
As (0.000, 0.500, 0.000)
Cl (0.500, 0.500, 0.000)


Entry 18:
Below is an optimized crystal structure of Zn3AsCl, with properties calculated at the PBE-GGA level.

Mass density = 4.53 g/cm³
E = -1.47 eV per atom
Energy relative to the elements, uncorrected = 0.592 eV per atom
Distance to the lowest polymorph of the same formula = 0.583 eV per atom

a b c (Å): 4.824 4.824 4.824
angles (deg): 90.00 90.00 90.00
Space group Pm-3m (No. 221)
Inequivalent atoms, fractional coordinates:
Zn (0.000, 0.000, 0.500)
As (0.500, 0.500, 0.500)
Cl (0.000, 0.000, 0.000)


Entry 19:
Below is an optimized crystal structure of ZnAs2Cl, with properties calculated at the PBE-GGA level.

Mass density = 5.29 g/cm³
E = -2.92 eV per atom
Energy relative to the elements, uncorrected = 0.181 eV per atom
Distance to the lowest polymorph of the same formula = 0.454 eV per atom

a b c (Å): 3.302 3.302 7.214
angles (deg): 90.00 90.00 90.00
Space group P4/mmm (No. 123)
Inequivalent atoms, fractional coordinates:
Zn (0.000, 0.000, 0.000)
As (0.500, 0.500, 0.197)
Cl (0.000, 0.000, 0.500)


Entry 20:
Below is an optimized crystal structure of ZnAs2Cl, with properties calculated at the PBE-GGA level.

Mass density = 4.91 g/cm³
E = -3.11 eV per atom
Energy relative to the elements, uncorrected = -0.001 eV per atom
Distance to the lowest polymorph of the same formula = 0.272 eV per atom

a b c (Å): 3.918 3.918 22.089
angles (deg): 90.00 90.00 90.00
Space group I-42d (No. 122)
Inequivalent atoms, fractional coordinates:
Zn (0.000, 0.000, 0.000)
As (0.193, 0.250, 0.125)
Cl (0.000, 0.000, 0.500)


Entry 21:
Below is an optimized crystal structure of Zn2AsCl, with properties calculated at the PBE-GGA level.

Mass density = 3.80 g/cm³
E = -2.59 eV per atom
Energy relative to the elements, uncorrected = -0.327 eV per atom
Distance to the lowest polymorph of the same formula = 0.154 eV per atom

a b c (Å): 15.429 3.666 3.765
angles (deg): 90.00 98.54 90.00
Space group Cm (No. 8)
Inequivalent atoms, fractional coordinates:
Zn (0.000, 0.000, 0.000)
Zn (0.153, 0.500, 0.725)
As (0.001, 0.500, 0.498)
Cl (0.245, 0.000, 0.893)


Entry 22:
Below is an optimized crystal structure of ZnAs2Cl, with properties calculated at the PBE-GGA level.

Mass density = 4.44 g/cm³
E = -2.98 eV per atom
Energy relative to the elements, uncorrected = 0.127 eV per atom
Distance to the lowest polymorph of the same formula = 0.400 eV per atom

a b c (Å): 3.659 3.659 14.008
angles (deg): 90.00 90.00 90.00
Space group I4/mmm (No. 139)
Inequivalent atoms, fractional coordinates:
Zn (0.000, 0.000, 0.000)
As (0.000, 0.500, 0.250)
Cl (0.000, 0.000, 0.500)


Entry 23:
Below is an optimized crystal structure of ZnAs3Cl, with properties calculated at the PBE-GGA level.

Mass density = 4.61 g/cm³
E = -2.69 eV per atom
Energy relative to the elements, uncorrected = 0.724 eV per atom
Distance to the lowest polymorph of the same formula = 0.000 eV per atom

a b c (Å): 4.893 4.893 4.893
angles (deg): 90.00 90.00 90.00
Space group Pm-3m (No. 221)
Inequivalent atoms, fractional coordinates:
Zn (0.000, 0.000, 0.000)
As (0.000, 0.000, 0.500)
Cl (0.500, 0.500, 0.500)


Entry 24:
Below is an optimized crystal structure of Zn2AsCl, with properties calculated at the PBE-GGA level.

Mass density = 4.58 g/cm³
E = -2.39 eV per atom
Energy relative to the elements, uncorrected = -0.129 eV per atom
Distance to the lowest polymorph of the same formula = 0.352 eV per atom

a b c (Å): 3.2433 3.2433 28.7760
angles (deg): 90.00 90.00 120.00
Space group R3m (No. 160, hexagonal axes)
Inequivalent atoms, fractional coordinates:
Zn (0.0000, 0.0000, 0.0000)
Zn (0.0000, 0.0000, 0.2634)
As (0.0000, 0.0000, 0.7326)
Cl (0.0000, 0.0000, 0.5429)


Entry 25:
Below is an optimized crystal structure of ZnAs3Cl, with properties calculated at the PBE-GGA level.

Mass density = 4.58 g/cm³
E = -2.30 eV per atom
Energy relative to the elements, uncorrected = 1.118 eV per atom
Distance to the lowest polymorph of the same formula = 0.393 eV per atom

a b c (Å): 4.906 4.906 4.906
angles (deg): 90.00 90.00 90.00
Space group Pm-3m (No. 221)
Inequivalent atoms, fractional coordinates:
Zn (0.000, 0.000, 0.000)
As (0.000, 0.500, 0.500)
Cl (0.500, 0.500, 0.500)


Entry 26:
Below is an optimized crystal structure of Zn2AsCl, with properties calculated at the PBE-GGA level.

Mass density = 4.88 g/cm³
E = -2.32 eV per atom
Energy relative to the elements, uncorrected = -0.063 eV per atom
Distance to the lowest polymorph of the same formula = 0.419 eV per atom

a b c (Å): 3.815 5.917 7.269
angles (deg): 90.00 90.00 90.00
Space group Cmmm (No. 65)
Inequivalent atoms, fractional coordinates:
Zn (0.000, 0.000, 0.230)
As (0.000, 0.500, 0.000)
Cl (0.000, 0.500, 0.500)


Entry 27:
Below is an optimized crystal structure of Zn2AsCl, with properties calculated at the PBE-GGA level.

Mass density = 4.27 g/cm³
E = -2.29 eV per atom
Energy relative to the elements, uncorrected = -0.031 eV per atom
Distance to the lowest polymorph of the same formula = 0.450 eV per atom

a b c (Å): 3.574 7.236 7.248
angles (deg): 90.00 90.00 90.00
Space group Immm (No. 71)
Inequivalent atoms, fractional coordinates:
Zn (0.000, 0.000, 0.239)
As (0.000, 0.500, 0.500)
Cl (0.000, 0.500, 0.000)


Entry 28:
Below is an optimized crystal structure of ZnAs2Cl, with properties calculated at the PBE-GGA level.

Mass density = 4.45 g/cm³
E = -2.97 eV per atom
Energy relative to the elements, uncorrected = 0.131 eV per atom
Distance to the lowest polymorph of the same formula = 0.404 eV per atom

a b c (Å): 3.663 3.663 6.973
angles (deg): 90.00 90.00 90.00
Space group P4/mmm (No. 123)
Inequivalent atoms, fractional coordinates:
Zn (0.000, 0.000, 0.000)
As (0.000, 0.500, 0.500)
Cl (0.500, 0.500, 0.000)


Entry 29:
Below is an optimized crystal structure of Zn2AsCl, with properties calculated at the PBE-GGA level.

Mass density = 4.10 g/cm³
E = -2.74 eV per atom
Energy relative to the elements, uncorrected = -0.482 eV per atom
Distance to the lowest polymorph of the same formula = 0.000 eV per atom

a b c (Å): 5.722 5.722 11.947
angles (deg): 90.00 90.00 90.00
Space group I-42d (No. 122)
Inequivalent atoms, fractional coordinates:
Zn (0.209, 0.250, 0.125)
As (0.000, 0.000, 0.000)
Cl (0.000, 0.000, 0.500)